PBE+U PuPaCrO6, relaxed; calculated total energy = -9.660 eV per atom; M_tot = 14.0 μB/cell; calculated density = 8362 kg/m3; SG = P-31c, No. 163
1.0
-3.8020 -3.7297 1.1265
5.2515 -1.4262 -0.1516
0.8159 2.0058 9.3949
O Pa Cr Pu
12 2 2 2
Direct
0.0206 0.3510 0.6345
0.9794 0.3304 0.1345
0.6696 0.6490 0.1345
0.3510 0.0206 0.1345
0.0206 0.6696 0.8655
0.9794 0.6490 0.3655
0.3304 0.3510 0.8655
0.3304 0.9794 0.6345
0.6490 0.6696 0.6345
0.6696 0.0206 0.3655
0.3510 0.3304 0.3655
0.6490 0.9794 0.8655
0.3333 0.6667 0.2500
0.6667 0.3333 0.7500
0.3333 0.6667 0.7500
0.6667 0.3333 0.2500
0.0000 0.0000 0.5000
0.0000 0.0000 0.0000